Entry 1:
First-principles (PBE) data for SnBPd3 after structural relaxation, as listed in Alexandria.

Lattice parameters (Å, degrees): 4.9661 4.9661 4.9661 90.00 90.00 90.00
Positions (direct):
Sn 0.0000 0.0000 0.0000
Pd 0.0000 0.0000 0.5000
Pd 0.5000 0.0000 0.0000
Pd 0.0000 0.5000 0.0000
B 0.5000 0.5000 0.5000

ΔE_f, eV per formula unit: 7.28
Crystal system: cubic

Entry 2:
First-principles (PBE) data for SnBPd3 after structural relaxation, as listed in Alexandria.

Lattice parameters (Å, degrees): 4.2579 4.2579 4.2579 90.00 90.00 90.00
Positions (direct):
Pd 0.0000 0.0000 0.5000
Pd 0.0000 0.5000 0.0000
Pd 0.5000 0.0000 0.0000
Sn 0.5000 0.5000 0.5000
B 0.0000 0.0000 0.0000

ΔE_f, eV per formula unit: -1.22
Crystal system: cubic

Entry 3:
First-principles (PBE) data for SnBPd6 after structural relaxation, as listed in Alexandria.

Lattice parameters (Å, degrees): 5.1135 5.1135 5.1134 80.50 80.50 99.44
Positions (direct):
Sn 0.5000 0.5000 0.5000
Pd 0.9107 0.2876 0.7123
Pd 0.2876 0.9107 0.7123
Pd 0.2877 0.2877 0.0886
Pd 0.0893 0.7124 0.2877
Pd 0.7124 0.0893 0.2877
Pd 0.7123 0.7123 0.9114
B 0.0000 0.0000 0.0000

ΔE_f, eV per formula unit: -1.96
Crystal system: trigonal

Entry 4:
First-principles (PBE) data for SnBPd2 after structural relaxation, as listed in Alexandria.

Lattice parameters (Å, degrees): 4.4009 4.4009 4.4009 60.00 60.00 60.00
Positions (direct):
Sn 0.5000 0.5000 0.5000
Pd 0.7500 0.7500 0.7500
Pd 0.2500 0.2500 0.2500
B 0.0000 0.0000 0.0000

ΔE_f, eV per formula unit: 1.43
Crystal system: cubic